Compound: NaTbPO
Source: OQMD via LeMat-Bulk
Functional: PBE-GGA
Structure: relaxed

Cell and atoms, written as POSCAR:
```
NaTbPO
1.0
5.597 0.000 0.000
0.000 5.597 0.000
0.000 0.000 4.901
Na O P Tb
2 2 2 2
Direct
0.000 0.500 0.006
0.500 0.000 0.994
0.000 0.000 0.000
0.500 0.500 0.000
0.500 0.000 0.494
0.000 0.500 0.506
0.000 0.000 0.500
0.500 0.500 0.500
```

Results
**ΔE to the lowest computed polymorph**: 1.65 eV/f.u.
**M_tot**: 1.73 Bohr magnetons per cell

---

Compound: LiZrAgS3
Source: OQMD via LeMat-Bulk
Functional: PBE-GGA
Structure: relaxed

Cell and atoms, written as POSCAR:
```
LiZrAgS3
1.0
8.172 -1.833 0.000
8.172 1.833 0.000
-2.717 0.000 8.129
Ag Li S Zr
2 2 6 2
Direct
0.550 0.550 0.253
0.450 0.450 0.747
0.903 0.903 0.371
0.097 0.097 0.629
0.000 0.000 0.000
0.335 0.335 0.125
0.710 0.710 0.310
0.500 0.500 0.500
0.290 0.290 0.690
0.665 0.665 0.875
0.170 0.170 0.095
0.830 0.830 0.905
```

Results
**ΔE to the lowest computed polymorph**: 0.16 eV/f.u.
**M_tot**: 0.01 Bohr magnetons per cell

---

Compound: Cs2ScFeI6
Source: OQMD via LeMat-Bulk
Functional: PBE-GGA
Structure: relaxed

Cell and atoms, written as POSCAR:
```
Cs2ScFeI6
1.0
-8.172 -0.896 0.029
-3.420 -6.289 -4.041
4.373 -1.365 6.915
Cs Fe I Sc
2 1 6 1
Direct
0.249 0.249 0.250
0.751 0.751 0.750
0.500 0.500 0.000
0.736 0.237 0.236
0.237 0.736 0.236
0.747 0.747 0.275
0.253 0.253 0.725
0.763 0.264 0.764
0.264 0.763 0.764
0.000 0.000 0.500
```

Results
**Total energy**: -3.538 eV per atom
**M_tot**: 3.00 Bohr magnetons per cell

---

Compound: KRb2Ag3Bi2
Source: OQMD via LeMat-Bulk
Functional: PBE-GGA
Structure: relaxed

Cell and atoms, written as POSCAR:
```
KRb2Ag3Bi2
1.0
3.235 1.868 7.795
-3.235 1.868 7.795
0.000 -3.736 7.795
Ag Bi K Rb
3 2 1 2
Direct
0.500 0.500 0.000
0.500 0.000 0.500
0.000 0.500 0.500
0.242 0.242 0.242
0.758 0.758 0.758
0.500 0.500 0.500
0.084 0.084 0.084
0.916 0.916 0.916
```

Results
**Total energy**: -2.709 eV per atom